1.
# K2RbGaAg

A relaxed structure of K2RbGaAg (PBE, the Alexandria database).

abc: 6.7287 6.7287 5.0720
angles: 90.00 90.00 90.00
Closest atoms and distances in Å follow each position.
Fractional positions:
K 0.0000 0.5000 0.0000  2 Ga 3.36
K 0.5000 0.0000 0.0000  2 Ga 3.36
Ag 0.0000 0.0000 0.5000  2 Ga 2.54
Ga 0.0000 0.0000 0.0000  2 Ag 2.54
Rb 0.5000 0.5000 0.5000  8 K 4.21

Calculated values
Formation energy: 10 kJ/mol of atoms


2.
# Tb4AlGa2

A relaxed structure of Tb4AlGa2 (PBE, the Alexandria database).

abc: 8.1788 8.2036 8.1894
angles: 130.15 101.16 99.50
Closest atoms and distances in Å follow each position.
Fractional positions:
Tb 0.3527 0.1102 0.7559  3 Ga 2.87-3.10, 2 Al 2.96-2.99
Tb 0.8972 0.6398 0.7438  3 Ga 2.87-3.10, 2 Al 2.96-2.99
Tb 0.3539 0.5968 0.2438  3 Ga 2.88-3.10, 2 Al 2.95-2.99
Tb 0.7895 0.0705 0.7218  3 Ga 2.93-3.25, 1 Al 2.96
Tb 0.8964 0.1533 0.2564  3 Ga 2.88-3.11, 2 Al 2.95-2.99
Tb 0.4605 0.6795 0.7784  3 Ga 2.93-3.25, 1 Al 2.96
Tb 0.9011 0.6823 0.2217  3 Ga 2.93-3.25, 1 Al 2.96
Tb 0.3486 0.0676 0.2781  3 Ga 2.93-3.25, 1 Al 2.96
Ga 0.6250 0.8753 0.2503  6 Tb 2.88-2.93
Ga 0.6250 0.3748 0.7498  6 Tb 2.87-2.93
Ga 0.1250 0.3751 0.7502  6 Tb 3.10-3.25
Ga 0.6250 0.3748 0.2498  6 Tb 3.10-3.25
Al 0.1258 0.6261 0.4996  6 Tb 2.95-2.99
Al 0.1243 0.1240 0.0004  6 Tb 2.95-2.99

Calculated values
Formation energy: -22 kJ/mol of atoms


3.
# Eu3Gd

A relaxed structure of Eu3Gd (PBE, the Alexandria database).

abc: 6.0751 6.0739 4.1901
angles: 90.00 90.00 90.00
Closest atoms and distances in Å follow each position.
Fractional positions:
Eu 0.5000 0.0000 0.1669  4 Gd 3.69, 4 Eu 3.69
Eu 0.0000 0.5000 0.1663  4 Eu 3.69, 4 Gd 3.69
Eu 0.5000 0.5000 0.6669  8 Eu 3.69
Gd 0.0000 0.0000 0.6665  8 Eu 3.69

Calculated values
Formation energy: 9 kJ/mol of atoms


4.
# Y2TiF

A relaxed structure of Y2TiF (PBE, the Alexandria database).

abc: 7.1014 7.1014 6.2848
angles: 55.60 55.60 90.00
Closest atoms and distances in Å follow each position.
Fractional positions:
Ti 0.7500 0.2500 0.5000  8 Y 3.17-3.52
Ti 0.0000 0.0000 0.0000  8 Y 3.17-3.52
F 0.2500 0.7500 0.5000  4 Y 2.29
F 0.5000 0.5000 0.0000  4 Y 2.29
Y 0.3750 0.4706 0.7500  2 F 2.29
Y 0.8750 0.7794 0.7500  2 F 2.29
Y 0.5294 0.1250 0.2500  2 F 2.29
Y 0.2206 0.6250 0.2500  2 F 2.29

Calculated values
Formation energy from raw total energies: -0.82 eV/atom


5.
# LiAs2Ru

A relaxed structure of LiAs2Ru (PBE, the Alexandria database).

abc: 5.0398 5.0398 5.0398
angles: 136.37 136.37 63.40
Closest atoms and distances in Å follow each position.
Fractional positions:
As 0.2500 0.7500 0.5000  4 Ru 2.65, 4 As 2.85, 4 Li 2.85
As 0.0000 0.0000 0.0000  4 Li 2.65, 4 As 2.85, 4 Ru 2.85
Li 0.5000 0.5000 0.0000  8 As 2.65-2.85, 4 Ru 2.85
Ru 0.7500 0.2500 0.5000  8 As 2.65-2.85, 4 Li 2.85

Calculated values
Formation energy: -5 kJ/mol of atoms


6.
# SbOs2W

A relaxed structure of SbOs2W (PBE, the Alexandria database).

abc: 8.9924 8.9924 8.9924
angles: 18.74 18.74 18.74
Closest atoms and distances in Å follow each position.
Fractional positions:
Os 0.2517 0.2517 0.2517  9 Os 2.74-2.93, 3 Sb 2.77
Os 0.9996 0.9996 0.9996  3 W 2.72, 9 Os 2.74-2.93
W 0.7466 0.7466 0.7466  3 Os 2.72, 3 Sb 2.90, 6 W 2.93
Sb 0.5022 0.5022 0.5022  3 Os 2.77, 3 W 2.90, 6 Sb 2.93

Calculated values
Formation energy from raw total energies: 0.57 eV/atom


7.
# TmHg2Pd7

A relaxed structure of TmHg2Pd7 (PBE, the Alexandria database).

abc: 4.3303 7.9429 7.9430
angles: 125.25 90.00 90.00
Closest atoms and distances in Å follow each position.
Fractional positions:
Pd 0.0000 0.8131 0.1869  1 Tm 2.64, 2 Hg 2.69, 4 Pd 2.82
Pd 0.5000 0.2830 0.0820  5 Pd 2.67-2.84, 1 Hg 2.71, 2 Tm 2.91
Pd 0.0000 0.1869 0.8131  1 Tm 2.64, 2 Hg 2.69, 4 Pd 2.82
Pd 0.5000 0.0820 0.2830  5 Pd 2.67-2.84, 1 Hg 2.71, 2 Tm 2.91
Pd 0.5000 0.9180 0.7170  5 Pd 2.67-2.84, 1 Hg 2.71, 2 Tm 2.91
Pd 0.5000 0.7170 0.9180  5 Pd 2.67-2.84, 1 Hg 2.71, 2 Tm 2.91
Pd 0.5000 0.5000 0.5000  4 Pd 2.72, 2 Hg 2.82
Hg 0.5000 0.3002 0.6998  5 Pd 2.69-2.82
Hg 0.5000 0.6998 0.3002  5 Pd 2.69-2.82
Tm 0.0000 0.0000 0.0000  10 Pd 2.64-2.91

Calculated values
Formation energy: -1 kJ/mol of atoms


8.
# TaCu2TeO

A relaxed structure of TaCu2TeO (PBE, the Alexandria database).

abc: 4.4116 4.0267 4.4116
angles: 90.00 90.00 90.00
Closest atoms and distances in Å follow each position.
Fractional positions:
Te 0.5000 0.5000 0.5000  8 Cu 2.99, 4 Ta 3.12
Cu 0.0000 0.0000 0.5000  2 O 2.21
Cu 0.5000 0.0000 0.0000  2 O 2.21
O 0.0000 0.0000 0.0000  2 Ta 2.01, 4 Cu 2.21
Ta 0.0000 0.5000 0.0000  2 O 2.01

Calculated values
Formation energy from raw total energies: -0.07 eV/atom


9.
# Sb2RhPb

A relaxed structure of Sb2RhPb (PBE, the Alexandria database).

abc: 7.5694 7.5694 7.5694
angles: 153.75 147.61 42.15
Closest atoms and distances in Å follow each position.
Fractional positions:
Sb 0.0792 0.0792 0.0000  2 Rh 2.67
Sb 0.7632 0.2632 0.5000  4 Rh 2.78
Rh 0.2236 0.7236 0.5000  6 Sb 2.67-2.78
Pb 0.4340 0.4340 0.0000  6 Sb 3.21-3.41, 2 Rh 3.43, 2 Pb 3.44

Calculated values
Formation energy from raw total energies: -0.06 eV/atom


10.
# Li2CeHoTl4

A relaxed structure of Li2CeHoTl4 (PBE, the Alexandria database).

abc: 5.2239 5.2239 9.0930
angles: 73.31 73.31 60.00
Closest atoms and distances in Å follow each position.
Fractional positions:
Tl 0.6227 0.6227 0.1318  1 Ho 3.16, 4 Li 3.19-3.31, 3 Ce 3.22
Tl 0.8734 0.8734 0.3799  4 Li 3.14-3.20, 3 Ho 3.19, 1 Ce 3.26
Tl 0.3773 0.3773 0.8682  1 Ho 3.16, 4 Li 3.19-3.31, 3 Ce 3.22
Tl 0.1266 0.1266 0.6201  4 Li 3.14-3.20, 3 Ho 3.19, 1 Ce 3.26
Li 0.2486 0.2486 0.2543  8 Tl 3.14-3.31
Li 0.7514 0.7514 0.7457  8 Tl 3.14-3.31
Ce 0.0000 0.0000 0.0000  8 Tl 3.22-3.26
Ho 0.5000 0.5000 0.5000  8 Tl 3.16-3.19

Calculated values
Formation energy: -27 kJ/mol of atoms


11.
# LaNd2YAs4

A relaxed structure of LaNd2YAs4 (PBE, the Alexandria database).

abc: 8.5272 8.5272 8.5313
angles: 120.02 120.02 89.98
Closest atoms and distances in Å follow each position.
Fractional positions:
Nd 0.5000 0.5000 0.0000  6 As 3.00
Nd 0.0000 0.0000 0.5000  6 As 3.00
Nd 0.5000 0.0000 0.5000  6 As 3.05
Nd 0.5000 0.0000 0.0000  6 As 3.05
As 0.7543 0.2569 0.0057  2 Y 2.98, 3 Nd 3.00-3.05, 1 La 3.03
As 0.7528 0.7472 0.0028  1 Y 2.98, 3 Nd 3.00-3.05, 2 La 3.03
As 0.7569 0.2543 0.5057  2 Y 2.98, 3 Nd 3.00-3.05, 1 La 3.03
As 0.7528 0.7472 0.4972  1 Y 2.98, 3 Nd 3.00-3.05, 2 La 3.03
As 0.2472 0.2528 0.9972  1 Y 2.98, 3 Nd 3.00-3.05, 2 La 3.03
As 0.2457 0.7431 0.9943  2 Y 2.98, 3 Nd 3.00-3.05, 1 La 3.03
As 0.2431 0.7457 0.4943  2 Y 2.98, 3 Nd 3.00-3.05, 1 La 3.03
As 0.2472 0.2528 0.5028  1 Y 2.98, 3 Nd 3.00-3.05, 2 La 3.03
La 0.0000 0.0000 0.0000  6 As 3.03
La 0.5000 0.5000 0.5000  6 As 3.03
Y 0.0000 0.5000 0.5000  6 As 2.98
Y 0.0000 0.5000 0.0000  6 As 2.98

Calculated values
Formation energy: -147 kJ/mol of atoms


12.
# CeTm2Ti

A relaxed structure of CeTm2Ti (PBE, the Alexandria database).

abc: 4.7914 4.6664 4.6664
angles: 90.00 90.00 90.00
Closest atoms and distances in Å follow each position.
Fractional positions:
Tm 0.0000 0.5000 0.0000  4 Tm 3.30, 4 Ce 3.34, 4 Ti 3.34
Tm 0.0000 0.0000 0.5000  4 Tm 3.30, 4 Ce 3.34, 4 Ti 3.34
Ti 0.5000 0.5000 0.5000  4 Ce 3.30, 8 Tm 3.34
Ce 0.5000 0.0000 0.0000  4 Ti 3.30, 8 Tm 3.34

Calculated values
Formation energy: 18 kJ/mol of atoms


13.
# FeOsRu2

A relaxed structure of FeOsRu2 (PBE, the Alexandria database).

abc: 2.6920 2.6920 7.4643
angles: 90.00 90.00 90.00
Closest atoms and distances in Å follow each position.
Fractional positions:
Ru 0.0000 0.0000 0.0071  4 Fe 2.63, 4 Ru 2.69, 4 Os 2.70
Ru 0.0000 0.0000 0.4929  4 Fe 2.63, 4 Ru 2.69, 4 Os 2.70
Fe 0.5000 0.5000 0.2500  8 Ru 2.63, 4 Fe 2.69
Os 0.5000 0.5000 0.7500  4 Os 2.69, 8 Ru 2.70

Calculated values
Formation energy: 15 kJ/mol of atoms


14.
# Tc2RhBr

A relaxed structure of Tc2RhBr (PBE, the Alexandria database).

abc: 4.6982 4.6982 4.6982
angles: 128.41 128.41 75.97
Closest atoms and distances in Å follow each position.
Fractional positions:
Tc 0.0000 0.0000 0.0000  4 Tc 2.76, 4 Rh 2.76, 4 Br 2.89
Tc 0.2500 0.7500 0.5000  4 Br 2.76, 4 Tc 2.76, 4 Rh 2.89
Rh 0.7500 0.2500 0.5000  8 Tc 2.76-2.89, 4 Br 2.76
Br 0.5000 0.5000 0.0000  4 Rh 2.76, 8 Tc 2.76-2.89

Calculated values
Formation energy from raw total energies: 0.88 eV/atom


15.
# Si2HgRu

A relaxed structure of Si2HgRu (PBE, the Alexandria database).

abc: 4.2205 4.2205 8.5747
angles: 75.75 75.75 90.00
Closest atoms and distances in Å follow each position.
Fractional positions:
Hg 0.0000 0.0000 0.0000  4 Si 2.65
Hg 0.7500 0.2500 0.5000  4 Si 2.65
Si 0.3750 0.4493 0.7500  2 Ru 2.39, 2 Si 2.58, 2 Hg 2.65
Si 0.1993 0.6250 0.2500  2 Ru 2.39, 2 Si 2.58, 2 Hg 2.65
Si 0.5507 0.1250 0.2500  2 Ru 2.39, 2 Si 2.58, 2 Hg 2.65
Si 0.8750 0.8007 0.7500  2 Ru 2.39, 2 Si 2.58, 2 Hg 2.65
Ru 0.5000 0.5000 0.0000  4 Si 2.39
Ru 0.2500 0.7500 0.5000  4 Si 2.39

Calculated values
Formation energy from raw total energies: 0.27 eV/atom


16.
# RbSbPI2

A relaxed structure of RbSbPI2 (PBE, the Alexandria database).

abc: 7.0293 7.0293 7.9264
angles: 90.00 90.00 90.00
Closest atoms and distances in Å follow each position.
Fractional positions:
Rb 0.0000 0.0000 0.0000  4 I 3.51
Sb 0.0000 0.0000 0.5000  2 Rb 3.96
P 0.5000 0.5000 0.5000  4 Sb 4.97, 8 I 5.30
I 0.0000 0.5000 0.0000  2 Rb 3.51
I 0.5000 0.0000 0.0000  2 Rb 3.51

Calculated values
Formation energy from raw total energies: 0.90 eV/atom


17.
# ThCu4Ni2

A relaxed structure of ThCu4Ni2 (PBE, the Alexandria database).

abc: 4.9540 5.1365 5.1365
angles: 76.52 61.25 61.25
Closest atoms and distances in Å follow each position.
Fractional positions:
Cu 0.3077 0.3844 0.9997  4 Cu 2.45-2.69, 4 Ni 2.62-2.63
Cu 0.6923 0.0003 0.6156  4 Cu 2.45-2.69, 4 Ni 2.62-2.63
Cu 0.3077 0.9997 0.3844  4 Cu 2.45-2.69, 4 Ni 2.62-2.63
Cu 0.6923 0.6156 0.0003  4 Cu 2.45-2.69, 4 Ni 2.62-2.63
Ni 0.7500 0.5004 0.5004  2 Ni 2.47-2.48, 8 Cu 2.62-2.63
Ni 0.2500 0.4996 0.4996  2 Ni 2.47-2.48, 8 Cu 2.62-2.63
Th 0.0000 0.0000 0.0000  12 Cu 2.77-3.02

Calculated values
Formation energy: -15 kJ/mol of atoms


18.
# Sc2In2Ag

A relaxed structure of Sc2In2Ag (PBE, the Alexandria database).

abc: 7.2410 7.2410 4.3490
angles: 90.00 90.00 90.00
Closest atoms and distances in Å follow each position.
Fractional positions:
Sc 0.1627 0.6627 0.5000  6 In 2.96-3.10
Sc 0.6627 0.8373 0.5000  6 In 2.96-3.10
Sc 0.3373 0.1627 0.5000  6 In 2.96-3.10
Sc 0.8373 0.3373 0.5000  6 In 2.96-3.10
Ag 0.5000 0.5000 0.0000  4 In 2.79
Ag 0.0000 0.0000 0.0000  4 In 2.79
In 0.3591 0.8591 0.0000  2 Ag 2.79, 1 In 2.89, 6 Sc 2.96-3.10
In 0.1409 0.3591 0.0000  2 Ag 2.79, 1 In 2.89, 6 Sc 2.96-3.10
In 0.8591 0.6409 0.0000  2 Ag 2.79, 1 In 2.89, 6 Sc 2.96-3.10
In 0.6409 0.1409 0.0000  2 Ag 2.79, 1 In 2.89, 6 Sc 2.96-3.10

Calculated values
Formation energy: -27 kJ/mol of atoms


19.
# PaNb2Zn

A relaxed structure of PaNb2Zn (PBE, the Alexandria database).

abc: 3.3443 3.3443 8.4097
angles: 78.53 78.53 60.00
Closest atoms and distances in Å follow each position.
Fractional positions:
Nb 0.7517 0.7517 0.7450  3 Zn 2.78, 3 Pa 2.84
Nb 0.2483 0.2483 0.2550  3 Zn 2.78, 3 Pa 2.84
Pa 0.0000 0.0000 0.0000  6 Nb 2.84
Zn 0.5000 0.5000 0.5000  6 Nb 2.78

Calculated values
Formation energy: 33 kJ/mol of atoms


20.
# SrNiTe2

A relaxed structure of SrNiTe2 (PBE, the Alexandria database).

abc: 4.2579 4.2579 7.4987
angles: 73.48 73.48 59.97
Closest atoms and distances in Å follow each position.
Fractional positions:
Ni 0.2500 0.2500 0.2500  6 Te 2.80
Te 0.9797 0.9797 0.0604  3 Ni 2.80
Te 0.5203 0.5203 0.4396  3 Ni 2.80
Sr 0.7500 0.7500 0.7500  6 Te 3.30

Calculated values
Formation energy from raw total energies: -0.61 eV/atom


21.
# CdTc2Hg

A relaxed structure of CdTc2Hg (PBE, the Alexandria database).

abc: 7.6569 7.6569 6.0311
angles: 50.60 50.60 90.00
Closest atoms and distances in Å follow each position.
Fractional positions:
Tc 0.8750 0.8786 0.7500  2 Tc 2.66, 2 Hg 2.77, 2 Cd 2.81
Tc 0.3750 0.3714 0.7500  2 Tc 2.66, 2 Hg 2.77, 2 Cd 2.81
Tc 0.6286 0.1250 0.2500  2 Tc 2.66, 2 Hg 2.77, 2 Cd 2.81
Tc 0.1214 0.6250 0.2500  2 Tc 2.66, 2 Hg 2.77, 2 Cd 2.81
Cd 0.2500 0.7500 0.5000  2 Hg 2.66, 4 Tc 2.81
Cd 0.5000 0.5000 0.0000  2 Hg 2.66, 4 Tc 2.81
Hg 0.7500 0.2500 0.5000  2 Cd 2.66, 4 Tc 2.77
Hg 0.0000 0.0000 0.0000  2 Cd 2.66, 4 Tc 2.77

Calculated values
Formation energy: 108 kJ/mol of atoms


22.
# K2S2O7

A relaxed structure of K2S2O7 (PBE, the Alexandria database).

abc: 5.0623 6.3417 6.3417
angles: 107.42 94.94 94.94
Closest atoms and distances in Å follow each position.
Fractional positions:
O 0.0000 0.0000 0.0000  2 S 1.62
O 0.2256 0.6647 0.9045  1 S 1.46
O 0.8141 0.6809 0.6809  1 S 1.46
O 0.1859 0.3191 0.3191  1 S 1.46
O 0.7744 0.3353 0.0955  1 S 1.46
O 0.7744 0.0955 0.3353  1 S 1.46
O 0.2256 0.9045 0.6647  1 S 1.46
K 0.5000 0.3052 0.6948  6 O 2.73-2.82
K 0.5000 0.6948 0.3052  6 O 2.73-2.82
S 0.0722 0.7960 0.7960  4 O 1.46-1.62
S 0.9278 0.2040 0.2040  4 O 1.46-1.62

Calculated values
Formation energy from raw total energies: -1.62 eV/atom


23.
# Re3TeAs

A relaxed structure of Re3TeAs (PBE, the Alexandria database).

abc: 4.8439 4.8439 4.8439
angles: 90.00 90.00 90.00
Closest atoms and distances in Å follow each position.
Fractional positions:
Re 0.0000 0.5000 0.0000  2 Te 2.42
Re 0.5000 0.0000 0.0000  2 Te 2.42
Re 0.0000 0.0000 0.5000  2 Te 2.42
Te 0.0000 0.0000 0.0000  6 Re 2.42
As 0.5000 0.5000 0.5000  12 Re 3.43

Calculated values
Formation energy from raw total energies: 2.63 eV/atom


24.
# Er4Zn2Ir

A relaxed structure of Er4Zn2Ir (PBE, the Alexandria database).

abc: 5.9783 5.9783 5.9783
angles: 109.86 109.28 109.28
Closest atoms and distances in Å follow each position.
Fractional positions:
Er 0.5000 0.5000 0.5000  4 Zn 2.99, 2 Ir 2.99
Er 0.0000 0.0000 0.5000  2 Ir 2.99, 4 Zn 2.99
Er 0.0000 0.5000 0.0000  4 Zn 2.99, 2 Ir 2.99
Er 0.5000 0.0000 0.0000  4 Zn 2.99, 2 Ir 2.99
Zn 0.5000 0.0000 0.5000  8 Er 2.99
Zn 0.5000 0.5000 0.0000  8 Er 2.99
Ir 0.0000 0.0000 0.0000  8 Er 2.99

Calculated values
Formation energy: -41 kJ/mol of atoms


25.
# Y3Cd2Sn

A relaxed structure of Y3Cd2Sn (PBE, the Alexandria database).

abc: 3.7539 5.2774 8.4165
angles: 108.27 90.00 90.00
Closest atoms and distances in Å follow each position.
Fractional positions:
Y 0.5000 0.1646 0.3292  6 Cd 3.16-3.24, 2 Sn 3.23
Y 0.5000 0.8354 0.6708  6 Cd 3.16-3.24, 2 Sn 3.23
Y 0.5000 0.5000 0.0000  4 Sn 3.24, 4 Cd 3.38
Cd 0.0000 0.3240 0.6480  8 Y 3.16-3.38, 2 Cd 3.54
Cd 0.0000 0.6760 0.3520  8 Y 3.16-3.38, 2 Cd 3.54
Sn 0.0000 0.0000 0.0000  8 Y 3.23-3.24

Calculated values
Formation energy: -47 kJ/mol of atoms


26.
# Tb4CoCl5

A relaxed structure of Tb4CoCl5 (PBE, the Alexandria database).

abc: 3.8259 8.1907 9.3015
angles: 103.13 101.87 90.00
Closest atoms and distances in Å follow each position.
Fractional positions:
Cl 0.5000 0.5000 0.0000  4 Tb 3.01
Cl 0.1770 0.8572 0.3541  4 Tb 2.81-3.14
Cl 0.8230 0.1428 0.6459  4 Tb 2.81-3.14
Cl 0.1670 0.3326 0.3339  3 Tb 2.74-2.96
Cl 0.8330 0.6674 0.6661  3 Tb 2.74-2.96
Co 0.5000 0.0000 0.0000  6 Tb 2.61-2.65
Tb 0.9999 0.7830 0.9999  2 Co 2.61
Tb 0.6493 0.0868 0.2986  1 Co 2.65, 4 Cl 2.74-2.81
Tb 0.0001 0.2170 0.0001  2 Co 2.61
Tb 0.3507 0.9132 0.7014  1 Co 2.65, 4 Cl 2.74-2.81

Calculated values
Formation energy from raw total energies: -1.59 eV/atom